BaI3 | PBE | optimized geometry

Spin magnetization = 0.000 μB/cell
Density of states at the Fermi level = 0.84 states/eV per atom
Theoretical density = 4.9 Mg/m³
Final energy = -21.476 eV per cell
Formation energy without anion corrections = -1.0412 eV per atom

Cell: 13.9988 13.9988 13.9988 Å, 158.92 158.92 29.99°
Last column: nearest neighbours and their distance in Å.
Positions (direct):
Ba 0.0000 0.0000 0.0000  8 I 3.62-3.81
Ba 0.7500 0.2500 0.5000  8 I 3.62-3.81
I 0.1089 0.6250 0.9839  6 I 3.51-3.86, 2 Ba 3.81
I 0.2500 0.7500 0.5000  4 Ba 3.62, 4 I 3.86
I 0.3750 0.3589 0.4839  6 I 3.51-3.86, 2 Ba 3.81
I 0.5000 0.5000 0.0000  4 Ba 3.62, 4 I 3.86
I 0.6411 0.1250 0.0161  6 I 3.51-3.86, 2 Ba 3.81
I 0.8750 0.8911 0.5161  6 I 3.51-3.86, 2 Ba 3.81

Ca2NdCd | PBE | optimized geometry

Spin magnetization = 0.000 μB/cell
Formation enthalpy at 0 K = 0.086 eV per atom
Density of states at the Fermi level = 1.37 states/eV per atom
Excess energy over the best structure of this formula in the dataset = 0.928 eV/f.u.
Theoretical density = 4.0 Mg/m³
Final energy = -9.340 eV per cell

Cell: 12.3946 12.3946 12.3946 Å, 16.84 16.84 16.84°
Last column: nearest neighbours and their distance in Å.
Positions (direct):
Ca 0.0970 0.0970 0.0970  3 Cd 3.30, 1 Nd 3.56, 6 Ca 3.63
Ca 0.9030 0.9030 0.9030  3 Cd 3.30, 1 Nd 3.56, 6 Ca 3.63
Nd 0.0000 0.0000 0.0000  2 Ca 3.56, 6 Nd 3.63
Cd 0.5000 0.5000 0.5000  6 Ca 3.30, 6 Cd 3.63

K2SmPuO6 | PBE | optimized geometry

Spin magnetization = 1.000 μB/cell
Theoretical density = 5.8 Mg/m³
Final energy = -76.340 eV per cell
Formation energy without anion corrections = -2.5345 eV per atom

Cell: 6.1429 6.1429 6.1429 Å, 60.00 60.00 60.00°
Last column: nearest neighbours and their distance in Å.
Positions (direct):
K 0.2500 0.2500 0.2500  12 O 3.08
K 0.7500 0.7500 0.7500  12 O 3.08
Sm 0.0000 0.0000 0.0000  6 O 2.32
Pu 0.5000 0.5000 0.5000  6 O 2.02
O 0.2673 0.2673 0.7327  1 Pu 2.02
O 0.2673 0.7327 0.2673  1 Pu 2.02
O 0.2673 0.7327 0.7327  1 Pu 2.02
O 0.7327 0.2673 0.2673  1 Pu 2.02
O 0.7327 0.2673 0.7327  1 Pu 2.02
O 0.7327 0.7327 0.2673  1 Pu 2.02

AlTe2Se | PBE | optimized geometry

Spin magnetization = 0.000 μB/cell
Density of states at the Fermi level = 0.56 states/eV per atom
Theoretical density = 5.2 Mg/m³
Final energy = -14.022 eV per cell
Formation energy without anion corrections = -0.1279 eV per atom

Cell: 5.0986 3.8868 5.8804 Å, 90.00 98.82 90.00°
Last column: nearest neighbours and their distance in Å.
Positions (direct):
Al 0.0000 0.0000 0.0000  2 Se 2.55, 4 Te 2.79
Te 0.1711 0.5000 0.3295  2 Al 2.79, 1 Te 2.85
Te 0.8289 0.5000 0.6705  2 Al 2.79, 1 Te 2.85
Se 0.5000 0.0000 0.0000  2 Al 2.55

ThScZn2 | PBE | optimized geometry

Spin magnetization = 0.000 μB/cell
Formation enthalpy at 0 K = -0.241 eV per atom
Density of states at the Fermi level = 1.06 states/eV per atom
Excess energy over the best structure of this formula in the dataset = 0.101 eV/f.u.
Theoretical density = 7.6 Mg/m³
Final energy = -17.264 eV per cell

Cell: 5.0035 5.0035 5.0035 Å, 60.00 60.00 60.00°
Last column: nearest neighbours and their distance in Å.
Positions (direct):
Th 0.0000 0.0000 0.0000  8 Zn 3.06
Sc 0.5000 0.5000 0.5000  8 Zn 3.06
Zn 0.2500 0.2500 0.2500  4 Th 3.06, 4 Sc 3.06
Zn 0.7500 0.7500 0.7500  4 Th 3.06, 4 Sc 3.06

Al2CuW | PBE | optimized geometry

Spin magnetization = 0.000 μB/cell
Formation enthalpy at 0 K = -0.036 eV per atom
Density of states at the Fermi level = 0.63 states/eV per atom
Excess energy over the best structure of this formula in the dataset = 0.212 eV/f.u.
Theoretical density = 8.7 Mg/m³
Final energy = -24.679 eV per cell

Cell: 5.0294 5.0294 5.0294 Å, 137.36 137.36 61.89°
Last column: nearest neighbours and their distance in Å.
Positions (direct):
Al 0.0000 0.0000 0.0000  4 W 2.59, 4 Cu 2.83, 4 Al 2.83
Al 0.7500 0.2500 0.5000  4 Cu 2.59, 4 W 2.83, 4 Al 2.83
Cu 0.2500 0.7500 0.5000  8 Al 2.59-2.83, 4 W 2.83
W 0.5000 0.5000 0.0000  8 Al 2.59-2.83, 4 Cu 2.83

NdAl2V | PBE | optimized geometry

Spin magnetization = 0.000 μB/cell
Formation enthalpy at 0 K = 0.158 eV per atom
Density of states at the Fermi level = 0.76 states/eV per atom
Theoretical density = 5.3 Mg/m³
Final energy = -20.741 eV per cell

Cell: 10.0315 10.0315 10.0315 Å, 17.30 17.30 17.30°
Last column: nearest neighbours and their distance in Å.
Positions (direct):
Nd 0.0000 0.0000 0.0000  6 Nd 3.02, 6 Al 3.34
Al 0.2370 0.2370 0.2370  3 V 2.72, 6 Al 3.02
Al 0.7630 0.7630 0.7630  3 V 2.72, 6 Al 3.02
V 0.5000 0.5000 0.5000  6 Al 2.72, 6 V 3.02

Number 3 is which compound? K2SmPuO6